VASP calculation (GGA-PBE) on a geometry-optimized ScTa2Ag structure.

Geometry as CIF:
```
data_ScTa2Ag
_cell_length_a 2.9631
_cell_length_b 2.9631
_cell_length_c 30.2523
_cell_angle_alpha 90.00
_cell_angle_beta 90.00
_cell_angle_gamma 120.00
_space_group_name_H-M_alt 'R -3 m'
_space_group_IT_number 166
_space_group_name_Hall '-R 3 2"'
loop_
_atom_site_label
_atom_site_fract_x
_atom_site_fract_y
_atom_site_fract_z
Sc1 0.0000 0.0000 0.0000
Ta1 0.0000 0.0000 0.2485
Ag1 0.0000 0.0000 0.5000
```

## Properties
Energy above the lowest structure with this stoichiometry (kJ/mol of atoms): 19.8
DFT total energy (eV/cell): -95.009
DFT formation energy (meV per atom): 305
DOS(E_F) (states/eV per cell): 17.29

***

VASP calculation (GGA-PBE) on a geometry-optimized TcNiP2 structure.

Geometry as CIF:
```
data_TcNiP2
_cell_length_a 2.9729
_cell_length_b 2.9729
_cell_length_c 21.1809
_cell_angle_alpha 90.00
_cell_angle_beta 90.00
_cell_angle_gamma 120.00
_space_group_name_H-M_alt 'R 3 m'
_space_group_IT_number 160
_space_group_name_Hall 'R 3 -2"'
loop_
_atom_site_label
_atom_site_fract_x
_atom_site_fract_y
_atom_site_fract_z
Tc1 0.0000 0.0000 0.0000
Ni1 0.0000 0.0000 0.7706
P1 0.0000 0.0000 0.2582
P2 0.0000 0.0000 0.5021
```

## Properties
Energy above the lowest structure with this stoichiometry (kJ/mol of atoms): 25.7
DFT total energy (eV/cell): -81.833
DFT formation energy (meV per atom): -78
DOS(E_F) (states/eV per cell): 14.49